Record 1
A relaxed structure of CuTcB, computed with PBE.

Unit cell a=4.405 b=3.013 c=10.121 alpha=90.00 beta=101.32 gamma=90.00
Positions (direct):
B1 0.615 0.000 0.765
B2 0.385 0.000 0.235
B3 0.615 0.500 0.265
B4 0.385 0.500 0.735
Tc1 0.183 0.000 0.844
Tc2 0.817 0.000 0.156
Tc3 0.183 0.500 0.344
Tc4 0.817 0.500 0.656
Cu1 0.727 0.000 0.431
Cu2 0.273 0.000 0.569
Cu3 0.727 0.500 0.931
Cu4 0.273 0.500 0.069

Calculated values
For the formation energy, the calculation gives -0.065 eV per atom. The value obtained for the total energy is -7.112 eV per atom. For the energy above the most stable polymorph in this dataset, the calculation gives 28.6 meV per atom. The space group is C2/m, No. 12.

---

Record 2
A relaxed structure of La5Zn4Cd, computed with PBE.

Unit cell a=3.791 b=3.791 c=19.034 alpha=90.00 beta=90.00 gamma=90.00
Positions (direct):
La1 0.500 0.500 0.112
La2 0.500 0.500 0.303
La3 0.500 0.500 0.500
La4 0.500 0.500 0.697
La5 0.500 0.500 0.888
Zn1 0.000 0.000 0.207
Zn2 0.000 0.000 0.401
Zn3 0.000 0.000 0.599
Zn4 0.000 0.000 0.793
Cd1 0.000 0.000 0.000

Calculated values
For the formation energy, the calculation gives -0.316 eV per atom. The value obtained for the total energy is -3.381 eV per atom. The space group is P4/mmm, No. 123.

---

Record 3
A relaxed structure of Na2Sn4Au, computed with PBE.

Unit cell a=5.514 b=5.514 c=8.690 alpha=71.50 beta=71.50 gamma=90.00
Positions (direct):
Na1 0.373 0.373 0.253
Na2 0.627 0.627 0.747
Au1 0.000 0.000 0.000
Sn1 0.175 0.175 0.650
Sn2 0.825 0.825 0.350
Sn3 0.000 0.500 0.000
Sn4 0.500 0.000 0.000

Calculated values
For the formation energy, the calculation gives 0.194 eV per atom. The value obtained for the total energy is -2.938 eV per atom. The space group is I4/mmm, No. 139.